Density functional theory data (GGA-PBE) for an optimized crystal structure of CaSbAs2.

Unit cell a=4.093 b=4.647 c=5.875 alpha=73.12 beta=90.00 gamma=90.00
Positions (direct):
As1 0.000 0.588 0.457
Ca1 0.500 0.250 0.250
Sb1 0.500 0.750 0.750
As2 0.000 0.912 0.043

Results
Raw total energy: -17.0 eV/cell
Calculated density: 4.8 g/cm³
Uncorrected formation energy: -0.41 eV/atom
Space group: No. 10

***

Density functional theory data (GGA-PBE) for an optimized crystal structure of CeInP2O8.

Unit cell a=5.164 b=5.164 c=7.125 alpha=90.00 beta=90.00 gamma=120.00
Site moments in Bohr magnetons follow the coordinates.
Positions (direct):
Ce1 0.000 0.000 0.000  0.98
In1 0.000 0.000 0.500  0.00
O1 0.785 0.126 0.290  0.00
O2 0.667 0.333 0.007  0.00
O3 0.341 0.215 0.290  0.00
O4 0.333 0.667 0.993  0.00
O5 0.659 0.785 0.710  0.00
P1 0.333 0.667 0.778  0.00
P2 0.667 0.333 0.222  0.00
O6 0.126 0.341 0.710  0.00
O7 0.215 0.874 0.710  0.00
O8 0.874 0.659 0.290  0.00

Results
Raw total energy: -88.0 eV/cell
Calculated density: 4.5 g/cm³
Uncorrected formation energy: -2.40 eV/atom
Space group: No. 147

***

Density functional theory data (GGA-PBE) for an optimized crystal structure of Rb2MgNpCl6.

Unit cell a=7.597 b=7.557 c=10.706 alpha=90.00 beta=90.00 gamma=90.00
Site moments in Bohr magnetons follow the coordinates.
Positions (direct):
Cl1 0.736 0.487 0.500  -0.01
Cl2 0.764 0.988 0.000  -0.01
Cl3 0.500 0.249 0.737  -0.01
Cl4 0.000 0.751 0.763  -0.01
Cl5 0.000 0.751 0.237  -0.01
Mg1 0.500 0.250 0.500  0.01
Cl6 0.264 0.012 0.500  -0.01
Cl7 0.236 0.513 0.000  -0.01
Rb1 0.500 0.751 0.249  0.00
Cl8 0.764 0.513 0.000  -0.01
Rb2 0.000 0.249 0.749  0.00
Cl9 0.736 0.012 0.500  -0.01
Rb3 0.000 0.249 0.251  0.00
Cl10 0.500 0.249 0.263  -0.01
Cl11 0.264 0.487 0.500  -0.01
Cl12 0.236 0.988 0.000  -0.01
Np1 0.000 0.749 0.500  4.62
Rb4 0.500 0.751 0.751  0.00
Np2 0.500 0.251 0.000  4.62
Mg2 0.000 0.750 0.000  0.01

Results
Raw total energy: -88.9 eV/cell
Calculated density: 3.5 g/cm³
Uncorrected formation energy: -1.69 eV/atom
Space group: No. 59

***

Density functional theory data (GGA-PBE) for an optimized crystal structure of Ti3BeV.

Unit cell a=4.383 b=4.383 c=4.383 alpha=90.00 beta=90.00 gamma=90.00
Site moments in Bohr magnetons follow the coordinates.
Positions (direct):
Ti1 0.000 0.500 0.000  0.19
Ti2 0.500 0.000 0.000  0.19
V1 0.500 0.500 0.500  2.14
Be1 0.000 0.000 0.000  0.04
Ti3 0.000 0.000 0.500  0.19

Results
Raw total energy: -33.5 eV/cell
Calculated density: 4.0 g/cm³
Space group: No. 221
Energy relative to the elements: 0.604 eV/atom

***

Density functional theory data (GGA-PBE) for an optimized crystal structure of LaRh3Pb3.

Unit cell a=8.492 b=8.492 c=7.325 alpha=54.57 beta=54.57 gamma=60.00
Positions (direct):
Rh1 0.421 0.051 0.825
La1 0.330 0.330 0.011
Rh2 0.579 0.949 0.175
Rh3 0.296 0.579 0.175
Pb1 0.621 0.179 0.320
La2 0.670 0.670 0.989
Rh4 0.051 0.704 0.825
Rh5 0.704 0.421 0.825
Pb2 0.821 0.120 0.680
Pb3 0.120 0.379 0.680
Pb4 0.379 0.821 0.680
Pb5 0.179 0.880 0.320
Pb6 0.880 0.621 0.320
Rh6 0.949 0.296 0.175

Results
Raw total energy: -79.4 eV/cell
Calculated density: 10.4 g/cm³
Space group: No. 148
Energy relative to the elements: -0.230 eV/atom

***

Density functional theory data (GGA-PBE) for an optimized crystal structure of SrCa3Rh.

Unit cell a=4.502 b=4.502 c=10.258 alpha=90.00 beta=90.00 gamma=90.00
Positions (direct):
Ca1 0.000 0.500 0.430
Ca2 0.000 0.000 0.702
Sr1 0.000 0.000 0.097
Rh1 0.500 0.500 0.605
Ca3 0.500 0.000 0.430

Results
Raw total energy: -14.4 eV/cell
Calculated density: 2.5 g/cm³
Space group: No. 99
Energy relative to the elements: 0.122 eV/atom